[1]
# PBE Li4PmAu2, relaxed
# - formation energy from the elements (eV per formula unit) = -3.3
# - volume (Å³/atom) = 19.06
# - calculated density (Mg/m³) = 7.05
# - Fermi-level density of states (states/eV/cell) = 8.72
# - spin magnetization (μB per cell) = 0.0
data_Li4PmAu2
_chemical_formula_sum 'Li8 Pm2 Au4'
_cell_length_a 7.841
_cell_length_b 7.841
_cell_length_c 4.339
_cell_angle_alpha 90.00
_cell_angle_beta 90.00
_cell_angle_gamma 90.00
_space_group_name_H-M_alt 'P 42/m n m'
_space_group_IT_number 136
_space_group_name_Hall '-P 4n 2n'
loop_
_atom_site_label
_atom_site_fract_x
_atom_site_fract_y
_atom_site_fract_z
Li1 0.096 0.348 0.000
Pm1 0.000 0.000 0.500
Au1 0.213 0.787 0.000

---

[2]
# PBE NiWSe2N, relaxed
# - formation energy (no corrections) (eV per atom) = 0.98
# - energy above the most stable polymorph in this dataset (eV/f.u.) = 2.03
# - volume (Å³/atom) = 16.15
# - calculated density (Mg/m³) = 8.52
# - Fermi-level density of states (states/eV/cell) = 3.56
# - spin magnetization (μB per cell) = 2.3
data_NiWSe2N
_chemical_formula_sum 'Ni1 W1 Se2 N1'
_cell_length_a 4.900
_cell_length_b 4.900
_cell_length_c 3.363
_cell_angle_alpha 90.00
_cell_angle_beta 90.00
_cell_angle_gamma 90.00
_space_group_name_H-M_alt 'P 4/m m m'
_space_group_IT_number 123
_space_group_name_Hall '-P 4 2'
loop_
_atom_site_label
_atom_site_fract_x
_atom_site_fract_y
_atom_site_fract_z
Ni1 0.000 0.000 0.000
W1 0.500 0.500 0.500
Se1 0.000 0.500 0.000
N1 0.000 0.000 0.500

---

[3]
# PBE CoTe4As, relaxed
# - formation energy (no corrections) (eV per atom) = 1.07
# - volume (Å³/atom) = 28.33
# - calculated density (Mg/m³) = 6.29
# - Fermi-level density of states (states/eV/cell) = 30.53
# - spin magnetization (μB per cell) = 9.1
data_CoTe4As
_chemical_formula_sum 'Co4 Te16 As4'
_cell_length_a 8.793
_cell_length_b 8.793
_cell_length_c 8.793
_cell_angle_alpha 90.00
_cell_angle_beta 90.00
_cell_angle_gamma 90.00
_space_group_name_H-M_alt 'F -4 3 m'
_space_group_IT_number 216
_space_group_name_Hall 'F -4 2 3'
loop_
_atom_site_label
_atom_site_fract_x
_atom_site_fract_y
_atom_site_fract_z
Co1 0.000 0.000 0.000
Te1 0.125 0.125 0.625
As1 0.250 0.250 0.250